Entry 1:
VASP calculation (PBE-GGA) on a geometry-optimized Y2TlBiSb structure.

Cell lengths 5.7013, 5.9743, 5.7013 Å; angles 90.00, 90.00, 90.00 degrees
Fractional positions:
Tl (0.5000, 0.5000, 0.5000)
Y (0.0000, 0.0000, 0.5000)
Y (0.5000, 0.0000, 0.0000)
Sb (0.0000, 0.0000, 0.0000)
Bi (0.0000, 0.5000, 0.0000)

Computed properties:
raw formation energy: 43.0 kJ/mol of formula units



Entry 2:
VASP calculation (PBE-GGA) on a geometry-optimized Tm6BiSb2 structure.

Cell lengths 6.2843, 8.2083, 10.1652 Å; angles 90.00, 92.19, 90.00 degrees
Fractional positions:
Sb (0.5842, 0.8817, 0.7393)
Sb (0.0842, 0.6183, 0.2393)
Sb (0.4158, 0.1183, 0.2607)
Sb (0.9158, 0.3817, 0.7607)
Tm (0.3654, 0.8464, 0.0566)
Tm (0.8654, 0.6536, 0.5566)
Tm (0.8669, 0.9629, 0.2136)
Tm (0.3855, 0.7996, 0.4406)
Tm (0.1145, 0.2996, 0.0594)
Tm (0.6145, 0.2004, 0.5594)
Tm (0.6346, 0.1536, 0.9434)
Tm (0.1346, 0.3464, 0.4434)
Tm (0.1331, 0.0371, 0.7864)
Tm (0.3669, 0.5371, 0.7136)
Tm (0.6331, 0.4629, 0.2864)
Tm (0.8855, 0.7004, 0.9406)
Bi (0.0000, 0.0000, 0.5000)
Bi (0.5000, 0.5000, 0.0000)

Computed properties:
raw formation energy: -466.6 kJ/mol of formula units



Entry 3:
VASP calculation (PBE-GGA) on a geometry-optimized Tm5BiSb4 structure.

Cell lengths 6.1605, 7.5452, 7.5452 Å; angles 80.41, 65.91, 65.91 degrees
Fractional positions:
Sb (0.2016, 0.1980, 0.4009)
Sb (0.8005, 0.8020, 0.5991)
Sb (0.6025, 0.5991, 0.1980)
Sb (0.3996, 0.4009, 0.8020)
Tm (0.9003, 0.4050, 0.7966)
Tm (0.1019, 0.5950, 0.2034)
Tm (0.3053, 0.7966, 0.5950)
Tm (0.5008, 0.0000, 0.0000)
Tm (0.6969, 0.2034, 0.4050)
Bi (0.0008, 0.0000, 0.0000)

Computed properties:
raw formation energy: -973.7 kJ/mol of formula units



Entry 4:
VASP calculation (PBE-GGA) on a geometry-optimized Tm4Bi3Sb structure.

Cell lengths 6.2294, 6.2294, 6.2294 Å; angles 90.00, 90.00, 90.00 degrees
Fractional positions:
Tm (0.0000, 0.0000, 0.5000)
Tm (0.0000, 0.5000, 0.0000)
Tm (0.5000, 0.5000, 0.5000)
Tm (0.5000, 0.0000, 0.0000)
Bi (0.0000, 0.5000, 0.5000)
Bi (0.5000, 0.5000, 0.0000)
Bi (0.5000, 0.0000, 0.5000)
Sb (0.0000, 0.0000, 0.0000)

Computed properties:
raw formation energy: -659.7 kJ/mol of formula units



Entry 5:
VASP calculation (PBE-GGA) on a geometry-optimized Tm4BiSb3 structure.

Cell lengths 6.1617, 6.1617, 6.1617 Å; angles 90.00, 90.00, 90.00 degrees
Fractional positions:
Tm (0.5000, 0.0000, 0.0000)
Tm (0.0000, 0.5000, 0.0000)
Tm (0.5000, 0.5000, 0.5000)
Tm (0.0000, 0.0000, 0.5000)
Sb (0.5000, 0.5000, 0.0000)
Sb (0.0000, 0.5000, 0.5000)
Sb (0.5000, 0.0000, 0.5000)
Bi (0.0000, 0.0000, 0.0000)

Computed properties:
raw formation energy: -770.0 kJ/mol of formula units



Entry 6:
VASP calculation (PBE-GGA) on a geometry-optimized Tm5BiSb structure.

Cell lengths 8.3889, 8.3889, 6.5957 Å; angles 94.16, 94.16, 114.95 degrees
Fractional positions:
Tm (0.6413, 0.9713, 0.6826)
Tm (0.5682, 0.7756, 0.1691)
Tm (0.2141, 0.7859, 0.7500)
Tm (0.4318, 0.2244, 0.8309)
Tm (0.0287, 0.3587, 0.8174)
Tm (0.2244, 0.4318, 0.3309)
Tm (0.7756, 0.5682, 0.6691)
Tm (0.7859, 0.2141, 0.2500)
Tm (0.9713, 0.6413, 0.1826)
Tm (0.3587, 0.0287, 0.3174)
Sb (0.4256, 0.5744, 0.7500)
Sb (0.5744, 0.4256, 0.2500)
Bi (0.0000, 0.0000, 0.0000)
Bi (0.0000, 0.0000, 0.5000)

Computed properties:
raw formation energy: -236.4 kJ/mol of formula units



Entry 7:
VASP calculation (PBE-GGA) on a geometry-optimized Tm6Bi5Sb structure.

Cell lengths 7.6504, 7.6504, 7.6419 Å; angles 99.59, 99.59, 120.00 degrees
Fractional positions:
Bi (0.5000, 0.5000, 0.5000)
Bi (0.6663, 0.3337, 0.0000)
Bi (0.3337, 0.6663, 0.0000)
Bi (0.1684, 0.8316, 0.5000)
Bi (0.8316, 0.1684, 0.5000)
Sb (0.0000, 0.0000, 0.0000)
Tm (0.2457, 0.2457, 0.7508)
Tm (0.7543, 0.7543, 0.2492)
Tm (0.9177, 0.5887, 0.7528)
Tm (0.4113, 0.0823, 0.2472)
Tm (0.5887, 0.9177, 0.7528)
Tm (0.0823, 0.4113, 0.2472)

Computed properties:
raw formation energy: -959.7 kJ/mol of formula units



Entry 8:
VASP calculation (PBE-GGA) on a geometry-optimized Tm4BiSb2 structure.

Cell lengths 8.2042, 8.2040, 8.2051 Å; angles 109.20, 109.28, 109.94 degrees
Fractional positions:
Tm (0.2725, 0.5060, 0.1397)
Tm (0.3830, 0.0218, 0.2658)
Tm (0.7560, 0.1172, 0.7342)
Tm (0.8838, 0.2440, 0.2666)
Tm (0.9774, 0.6172, 0.7334)
Tm (0.4940, 0.7283, 0.8613)
Tm (0.8670, 0.6327, 0.1387)
Tm (0.3663, 0.1328, 0.8603)
Sb (0.6250, 0.4243, 0.2993)
Sb (0.5748, 0.3750, 0.6998)
Sb (0.6752, 0.8750, 0.3002)
Sb (0.1250, 0.3258, 0.7007)
Bi (0.9999, 0.9999, 0.0000)
Bi (0.2501, 0.7501, 0.5000)

Computed properties:
raw formation energy: -452.6 kJ/mol of formula units